#1
Li2YRh | meta-GGA SCAN | PBEsol geometry

extended XYZ file:
```
4
Lattice="1.4618 0.8440 9.8339 -1.4618 0.8440 9.8339 0.0000 -1.6879 9.8339" Properties=species:S:1:pos:R:3 pbc="T T T"
Li 0.0000 0.0000 6.8903
Li 0.0000 0.0000 22.6115
Y 0.0000 0.0000 0.0000
Rh 0.0000 0.0000 14.7509
```


#2
Li2YRh | meta-GGA SCAN | PBEsol geometry

extended XYZ file:
```
4
Lattice="-1.8324 2.0338 4.6872 1.8324 -2.0338 4.6872 1.8324 2.0338 -4.6872" Properties=species:S:1:pos:R:3 pbc="T T T"
Li 0.0000 0.0000 2.2347
Li 0.0000 0.0000 7.1396
Y 0.0000 2.0338 0.0000
Rh 1.8324 0.0000 0.0000
```


How far above the most stable structure does each one sit? In meV/atom: #1 646; #2 0.


#1
Li2ZrRh | meta-GGA SCAN | PBEsol geometry

extended XYZ file:
```
4
Lattice="3.3561 0.0000 0.0000 0.0000 3.3561 0.0000 0.0000 0.0000 5.2320" Properties=species:S:1:pos:R:3 pbc="T T T"
Li 0.0000 0.0000 1.0800
Li 0.0000 0.0000 4.1520
Zr 1.6780 1.6780 2.6160
Rh 1.6780 1.6780 0.0000
```


#2
Li2ZrRh | meta-GGA SCAN | PBEsol geometry

extended XYZ file:
```
8
Lattice="-1.8284 1.8284 10.2577 1.8284 -1.8284 10.2577 1.8284 1.8284 -10.2577" Properties=species:S:1:pos:R:3 pbc="T T T"
Li 2.7426 0.7757 -2.5644
Li 0.7757 0.9142 2.5644
Li -0.9142 1.0527 7.6933
Li 1.0527 0.9142 12.8222
Zr 1.8284 0.0000 5.1289
Zr 0.0000 0.0000 10.2577
Rh 0.0000 0.0000 0.0000
Rh 0.0000 1.8284 5.1289
```


How far above the most stable structure does each one sit? In meV/atom: #1 141; #2 0.


#1
Li2ScRu | meta-GGA SCAN | PBEsol geometry

extended XYZ file:
```
4
Lattice="-1.8398 1.8398 4.5884 1.8398 -1.8398 4.5884 1.8398 1.8398 -4.5884" Properties=species:S:1:pos:R:3 pbc="T T T"
Li 1.8398 0.0000 2.2942
Li 0.0000 1.8398 2.2942
Sc 0.0000 0.0000 0.0000
Ru 0.0000 0.0000 4.5884
```


#2
Li2ScRu | meta-GGA SCAN | PBEsol geometry

extended XYZ file:
```
4
Lattice="1.6160 -2.4156 0.0000 1.6160 2.4156 0.0000 0.0000 0.0000 9.1621" Properties=species:S:1:pos:R:3 pbc="T T T"
Li 0.0000 0.0000 0.0000
Li 1.6160 0.0000 2.5975
Sc 1.6160 0.0000 6.4370
Ru 0.0000 0.0000 4.5872
```


How far above the most stable structure does each one sit? In meV/atom: #1 0; #2 66.


#1
SrLiRu2 | meta-GGA SCAN | PBEsol geometry

extended XYZ file:
```
4
Lattice="3.7696 0.0000 0.0000 0.0000 3.7696 0.0000 0.0000 0.0000 4.7857" Properties=species:S:1:pos:R:3 pbc="T T T"
Sr 0.0000 0.0000 0.0000
Li 1.8848 1.8848 0.0000
Ru 0.0000 1.8848 2.3928
Ru 1.8848 0.0000 2.3928
```


#2
SrLiRu2 | meta-GGA SCAN | PBEsol geometry

extended XYZ file:
```
4
Lattice="-1.4576 2.3035 4.8713 1.4576 -2.3035 4.8713 1.4576 2.3035 -4.8713" Properties=species:S:1:pos:R:3 pbc="T T T"
Sr 0.0000 0.0000 0.0000
Li 0.0000 0.0000 4.8713
Ru 1.4576 0.0000 2.6266
Ru 0.0000 2.3035 2.2447
```


How far above the most stable structure does each one sit? In meV/atom: #1 39; #2 0.


#1
Li2RuW | meta-GGA SCAN | PBEsol geometry

extended XYZ file:
```
4
Lattice="3.1766 0.0000 0.0000 0.0000 3.1766 0.0000 0.0000 0.0000 4.9602" Properties=species:S:1:pos:R:3 pbc="T T T"
Li 0.0000 0.0000 1.1355
Li 0.0000 0.0000 3.8247
Ru 1.5883 1.5883 0.0000
W 1.5883 1.5883 2.4801
```


#2
Li2RuW | meta-GGA SCAN | PBEsol geometry

extended XYZ file:
```
4
Lattice="3.0171 0.0000 0.0000 0.0000 4.0252 0.0000 0.0000 0.0000 4.6427" Properties=species:S:1:pos:R:3 pbc="T T T"
Li 0.0000 0.0000 0.0000
Li 1.5086 2.0126 0.0000
Ru 0.0000 2.0126 2.3214
W 1.5086 0.0000 2.3214
```


#3
Li2RuW | meta-GGA SCAN | PBEsol geometry

extended XYZ file:
```
4
Lattice="-1.7558 1.7558 4.5707 1.7558 -1.7558 4.5707 1.7558 1.7558 -4.5707" Properties=species:S:1:pos:R:3 pbc="T T T"
Li 1.7558 0.0000 2.2854
Li 0.0000 1.7558 2.2854
Ru 0.0000 0.0000 0.0000
W 0.0000 0.0000 4.5707
```


How far above the most stable structure does each one sit? In meV/atom: #1 370; #2 0; #3 40.


#1
Li5SbS4 | meta-GGA SCAN | PBEsol geometry

extended XYZ file:
```
80
Lattice="16.1614 0.0000 0.0000 0.0000 16.1614 0.0000 0.0000 0.0000 5.8804" Properties=species:S:1:pos:R:3 pbc="T T T"
Li 0.2320 8.3127 1.4701
Li 0.2320 15.9294 1.4701
Li 1.7796 2.2293 1.0156
Li 1.7796 5.8514 1.0156
Li 1.9630 10.0437 4.4103
Li 1.9630 14.1984 4.4103
Li 2.2293 1.7796 3.9558
Li 2.2293 6.3010 3.9558
Li 4.0403 4.0403 0.8115
Li 4.0403 4.0403 3.7517
Li 4.0403 12.1210 1.4701
Li 4.0403 12.1210 4.4103
Li 5.8514 1.7796 3.9558
Li 5.8514 6.3010 3.9558
Li 6.1177 10.0437 4.4103
Li 6.1177 14.1984 4.4103
Li 6.3010 2.2293 1.0156
Li 6.3010 5.8514 1.0156
Li 7.8487 8.3127 1.4701
Li 7.8487 15.9294 1.4701
Li 8.3127 0.2320 4.4103
Li 8.3127 7.8487 4.4103
Li 9.8603 10.3099 4.8648
Li 9.8603 13.9321 4.8648
Li 10.0437 1.9630 1.4701
Li 10.0437 6.1177 1.4701
Li 10.3099 9.8603 1.9246
Li 10.3099 14.3817 1.9246
Li 12.1210 4.0403 1.4701
Li 12.1210 4.0403 4.4103
Li 12.1210 12.1210 2.1287
Li 12.1210 12.1210 5.0689
Li 13.9321 9.8603 1.9246
Li 13.9321 14.3817 1.9246
Li 14.1984 1.9630 1.4701
Li 14.1984 6.1177 1.4701
Li 14.3817 10.3099 4.8648
Li 14.3817 13.9321 4.8648
Li 15.9294 0.2320 4.4103
Li 15.9294 7.8487 4.4103
Sb 0.3419 12.1210 1.7736
Sb 4.0403 8.4226 1.1666
Sb 4.0403 15.8195 1.1666
Sb 7.7388 12.1210 1.7736
Sb 8.4226 4.0403 4.1068
Sb 12.1210 0.3419 4.7138
Sb 12.1210 7.7388 4.7138
Sb 15.8195 4.0403 4.1068
S 0.1583 1.8653 2.7285
S 0.1583 6.2154 2.7285
S 1.8653 0.1583 5.6687
S 1.8653 7.9224 5.6687
S 2.0728 12.1210 5.7430
S 2.0772 4.0403 5.2121
S 4.0403 2.0772 2.2719
S 4.0403 6.0035 2.2719
S 4.0403 10.1535 3.0776
S 4.0403 14.0886 3.0776
S 6.0035 4.0403 5.2121
S 6.0079 12.1210 5.7430
S 6.2154 0.1583 5.6687
S 6.2154 7.9224 5.6687
S 7.9224 1.8653 2.7285
S 7.9224 6.2154 2.7285
S 8.2390 9.9460 3.1518
S 8.2390 14.2961 3.1518
S 9.9460 8.2390 0.2116
S 9.9460 16.0031 0.2116
S 10.1535 4.0403 0.1374
S 10.1579 12.1210 0.6682
S 12.1210 2.0728 2.8028
S 12.1210 6.0079 2.8028
S 12.1210 10.1579 3.6084
S 12.1210 14.0842 3.6084
S 14.0842 12.1210 0.6682
S 14.0886 4.0403 0.1374
S 14.2961 8.2390 0.2116
S 14.2961 16.0031 0.2116
S 16.0031 9.9460 3.1518
S 16.0031 14.2961 3.1518
```


#2
Li5SbS4 | meta-GGA SCAN | PBEsol geometry

extended XYZ file:
```
10
Lattice="-1.9333 3.5320 6.6283 1.9333 -3.5320 6.6283 1.9333 3.5320 -6.6283" Properties=species:S:1:pos:R:3 pbc="T T T"
Li 0.0000 0.0000 0.0000
Li 1.9333 2.0500 -2.3635
Li 1.9333 2.0500 2.3635
Li 0.0000 1.4820 4.2648
Li 0.0000 1.4820 8.9917
Sb 0.0000 3.5320 0.0000
S 1.9333 1.6207 0.0000
S 1.9333 0.0000 3.8286
S 0.0000 3.5320 2.7997
S 0.0000 1.9113 6.6283
```


How far above the most stable structure does each one sit? In meV/atom: #1 36; #2 0.


#1
Li7Sb2S2 | meta-GGA SCAN | PBEsol geometry

extended XYZ file:
```
22
Lattice="5.5431 0.0000 0.0000 2.3213 8.4512 0.0000 2.2966 3.2773 9.0117" Properties=species:S:1:pos:R:3 pbc="T T T"
Li 2.1344 4.9524 3.3323
Li 3.4097 9.1917 3.4110
Li 1.6517 2.6888 1.5196
Li 3.3434 4.0192 8.5177
Li 3.1597 5.5605 0.1467
Li 5.4525 8.5409 6.2160
Li 3.9479 2.7333 5.6635
Li 6.2131 8.9952 3.3482
Li 4.7085 3.1877 2.7957
Li 7.0013 6.1680 8.8651
Li 6.8176 7.7093 0.4940
Li 8.5093 9.0397 7.4921
Li 6.7513 2.5368 5.6007
Li 8.0266 6.7761 5.6794
Sb 4.3522 6.4990 7.8159
Sb 4.4854 6.5665 3.3929
Sb 5.6756 5.1621 5.6188
Sb 5.8088 5.2296 1.1958
S 4.8540 10.5415 7.5264
S 2.5770 2.6246 3.6687
S 7.5840 9.1039 5.3430
S 5.3070 1.1870 1.4854
```


#2
Li7Sb2S2 | meta-GGA SCAN | PBEsol geometry

extended XYZ file:
```
44
Lattice="12.9385 0.0000 0.0000 0.0000 8.6277 0.0000 0.0000 0.0000 7.4198" Properties=species:S:1:pos:R:3 pbc="T T T"
Li 0.5769 0.0689 1.2698
Li 0.5769 4.2449 1.2698
Li 1.1091 6.4708 5.6150
Li 1.4640 2.1569 6.0543
Li 2.3665 6.4708 0.3986
Li 2.6666 4.5402 4.3226
Li 2.6666 8.4014 4.3226
Li 3.8026 0.2263 0.6127
Li 3.8026 4.0875 0.6127
Li 4.1028 2.1569 4.1085
Li 5.0053 6.4708 2.3444
Li 5.3602 2.1569 1.9051
Li 5.8923 4.3828 4.9797
Li 5.8923 8.5588 4.9797
Li 7.0462 0.0689 2.4400
Li 7.0462 4.2449 2.4400
Li 7.5783 6.4708 5.5146
Li 7.9332 2.1569 5.0754
Li 8.8358 6.4708 3.3113
Li 9.1359 4.5402 6.8071
Li 9.1359 8.4014 6.8071
Li 10.2719 0.2263 3.0972
Li 10.2719 4.0875 3.0972
Li 10.5720 2.1569 7.0212
Li 11.4746 6.4708 1.3655
Li 11.8294 2.1569 1.8048
Li 12.3616 4.3828 6.1499
Li 12.3616 8.5588 6.1499
Sb 1.1210 6.4708 2.9266
Sb 1.3179 2.1569 3.1708
Sb 5.1513 6.4708 6.8807
Sb 5.3482 2.1569 6.6365
Sb 7.5903 6.4708 0.7832
Sb 7.7872 2.1569 0.5391
Sb 11.6206 6.4708 4.2490
Sb 11.8175 2.1569 4.4931
S 1.8140 4.4647 6.6571
S 1.8140 8.4768 6.6571
S 4.6552 0.1509 2.9473
S 4.6552 4.1630 2.9473
S 8.2833 4.4647 4.4725
S 8.2833 8.4768 4.4725
S 11.1245 0.1509 0.7626
S 11.1245 4.1630 0.7626
```


How far above the most stable structure does each one sit? In meV/atom: #1 0; #2 23.


#1
Li3SbS3 | meta-GGA SCAN | PBEsol geometry

extended XYZ file:
```
7
Lattice="5.2564 3.0348 1.3992 -5.2564 3.0348 1.3992 0.0000 -6.0696 1.3992" Properties=species:S:1:pos:R:3 pbc="T T T"
Li 0.0000 -2.6287 1.3992
Li -2.2765 1.3143 1.3992
Li 2.2765 1.3144 1.3992
Sb 0.0000 0.0000 3.2785
S -1.8620 -1.0750 2.1002
S 1.8620 -1.0750 2.1002
S 0.0000 2.1500 2.1002
```


#2
Li3SbS3 | meta-GGA SCAN | PBEsol geometry

extended XYZ file:
```
28
Lattice="7.7716 0.0000 0.0000 0.0000 6.7617 0.0000 0.0000 0.0000 9.9794" Properties=species:S:1:pos:R:3 pbc="T T T"
Li 0.4185 0.2435 0.0000
Li 0.6968 2.3373 4.5003
Li 1.8406 2.5038 1.5582
Li 2.0452 5.8846 6.5479
Li 3.1890 5.7181 9.4900
Li 3.4673 3.6244 4.9897
Li 4.3043 3.1373 0.0000
Li 4.5826 1.0435 4.5003
Li 5.7264 0.8771 1.5582
Li 5.9310 4.2579 6.5479
Li 7.0748 4.4243 9.4900
Li 7.3531 6.5181 4.9897
Sb 1.7753 2.6511 7.7077
Sb 2.1105 6.0320 2.7180
Sb 5.6611 0.7297 7.7077
Sb 5.9964 4.1105 2.7180
S 0.2573 0.9051 2.6249
S 1.2402 4.6805 4.5581
S 1.3984 4.7191 0.7670
S 2.4874 1.3383 5.7567
S 2.6456 1.2997 9.5478
S 3.6286 4.2860 7.6146
S 4.1431 2.4757 2.6249
S 5.1260 5.4620 4.5581
S 5.2842 5.4233 0.7670
S 6.3732 2.0425 5.7567
S 6.5314 2.0812 9.5478
S 7.5144 5.8565 7.6146
```


#3
Li3SbS3 | meta-GGA SCAN | PBEsol geometry

extended XYZ file:
```
28
Lattice="4.0716 0.0000 0.0000 0.0000 11.8793 0.0000 -2.7652 0.0000 11.3988" Properties=species:S:1:pos:R:3 pbc="T T T"
Li -0.0228 2.7040 0.2190
Li -1.4054 3.2357 5.9184
Li 0.0960 0.4871 4.4986
Li -1.2866 5.4525 10.1980
Li 0.3096 6.4412 4.3352
Li -1.0730 11.3777 10.0346
Li 2.3795 0.5016 1.3642
Li 0.9969 5.4381 7.0636
Li 2.5931 6.4268 1.2008
Li 1.2105 11.3922 6.9002
Li 2.7119 8.6436 5.4804
Li 1.3293 9.1753 11.1798
Sb -0.3876 8.3410 8.6450
Sb 0.9950 9.4779 2.9456
Sb 0.3114 2.4014 8.4532
Sb 1.6940 3.5382 2.7538
S -0.8489 0.9897 6.7906
S 0.5337 4.9500 1.0912
S 0.3926 1.4728 2.3140
S -0.9900 4.4669 8.0134
S -0.7760 1.8234 10.5875
S 0.6066 4.1162 4.8881
S 0.6999 7.7631 6.5107
S 2.0825 10.0558 0.8113
S 2.2964 7.4124 3.3854
S 0.9139 10.4065 9.0848
S 0.7728 6.9293 10.3076
S 2.1553 10.8896 4.6082
```


How far above the most stable structure does each one sit? In meV/atom: #1 39; #2 0; #3 45.